This record from Alexandria via LeMat-Bulk describes crystalline TaMoPd2 at its relaxed geometry. The functional is GGA-PBE.

The structure in POSCAR format:
```
TaMoPd2
1.0
-2.778 5.583 -3.588
-6.165 -0.731 3.636
-3.560 4.087 1.903
Mo Pd Ta
2 4 2
Direct
0.250 0.750 0.500 Mo
0.500 0.500 0.000 Mo
0.875 0.879 0.750 Pd
0.375 0.371 0.750 Pd
0.121 0.625 0.250 Pd
0.629 0.125 0.250 Pd
0.750 0.250 0.500 Ta
0.000 0.000 0.000 Ta
```


This record from Alexandria via LeMat-Bulk describes crystalline Ta3MoPd at its relaxed geometry. The functional is GGA-PBE.

The structure in POSCAR format:
```
Ta3MoPd
1.0
-4.759 0.463 0.200
-0.393 -4.593 1.288
0.317 1.264 4.605
Ta Pd Mo
3 1 1
Direct
0.500 0.000 0.000 Ta
0.000 0.500 0.000 Ta
0.000 0.000 0.500 Ta
0.500 0.500 0.500 Pd
0.000 0.000 0.000 Mo
```


This record from Alexandria via LeMat-Bulk describes crystalline TaMo2Pd at its relaxed geometry. The functional is GGA-PBE.

The structure in POSCAR format:
```
TaMo2Pd
1.0
-0.877 -3.255 -1.686
1.023 -1.882 3.102
-9.143 -1.878 4.168
Mo Ta Pd
4 2 2
Direct
0.375 0.359 0.750 Mo
0.641 0.125 0.250 Mo
0.109 0.625 0.250 Mo
0.875 0.891 0.750 Mo
0.750 0.250 0.500 Ta
0.000 0.000 0.000 Ta
0.250 0.750 0.500 Pd
0.500 0.500 0.000 Pd
```


| no. | final energy (eV per atom) | energy of formation from the pure elements (eV per formula unit) | DOS(E_F) (states/eV/f.u.) |
| --- | --- | --- | --- |
| 1 | -7.909 | 1.43 | 3.12 |
| 2 | -8.900 | 7.08 | 7.75 |
| 3 | -9.147 | 2.12 | 2.66 |